No. 1
Computed, not measured: a geometry-optimized Mn2FeAg structure at the GGA-PBE level of DFT.

POSCAR file:
```
Mn2FeAg
1.0
2.8681 -3.6671 0.0000
2.8681 3.6671 0.0000
0.0000 0.0000 2.7996
Mn Fe Ag
2 1 1
Cartesian
1.4340 1.8335 0.0000
1.4340 -1.8335 0.0000
0.0000 0.0000 1.3998
2.8681 0.0000 1.3998
```

=====

No. 2
Computed, not measured: a geometry-optimized Mn2FeAg structure at the GGA-PBE level of DFT.

POSCAR file:
```
Mn2FeAg
1.0
1.3236 0.7642 8.7628
-1.3236 0.7642 8.7628
0.0000 -1.5284 8.7628
Mn Fe Ag
2 1 1
Cartesian
0.0000 0.0000 0.0000
0.0000 0.0000 6.7731
0.0000 0.0000 13.5440
0.0000 0.0000 19.9288
```

=====

No. 3
Computed, not measured: a geometry-optimized Mn2FeAg structure at the GGA-PBE level of DFT.

POSCAR file:
```
Mn2FeAg
1.0
4.6823 0.0000 0.0000
0.0000 2.7504 0.0000
-1.6183 0.0000 4.5482
Mn Fe Ag
2 1 1
Cartesian
0.0000 0.0000 0.0000
-0.8092 1.3752 2.2741
1.5320 0.0000 2.2741
2.3412 1.3752 0.0000
```

=====

No. 4
Computed, not measured: a geometry-optimized Mn3FeAg structure at the GGA-PBE level of DFT.

POSCAR file:
```
Mn3FeAg
1.0
4.3547 0.0000 0.0000
0.0000 4.3547 0.0000
0.0000 0.0000 4.3547
Mn Fe Ag
3 1 1
Cartesian
0.0000 0.0000 2.1774
0.0000 2.1774 0.0000
2.1774 0.0000 0.0000
0.0000 0.0000 0.0000
2.1774 2.1774 2.1774
```

=====

No. 5
Computed, not measured: a geometry-optimized Mn2FeAg structure at the GGA-PBE level of DFT.

POSCAR file:
```
Mn2FeAg
1.0
2.8678 0.0000 0.0000
0.0000 2.8678 0.0000
0.0000 0.0000 6.7880
Mn Fe Ag
2 1 1
Cartesian
0.0000 0.0000 1.4087
0.0000 0.0000 5.3793
1.4339 1.4339 0.0000
1.4339 1.4339 3.3940
```

=====

No. 6
Computed, not measured: a geometry-optimized Mn2FeAg structure at the GGA-PBE level of DFT.

POSCAR file:
```
Mn2FeAg
1.0
2.6547 0.0000 0.0000
0.0000 2.6547 0.0000
0.0000 0.0000 7.6124
Mn Fe Ag
2 1 1
Cartesian
0.0000 0.0000 0.0000
1.3274 1.3274 1.6685
1.3274 1.3274 5.9637
0.0000 0.0000 3.8505
```

=====

No. 7
Computed, not measured: a geometry-optimized MnFeAg structure at the GGA-PBE level of DFT.

POSCAR file:
```
MnFeAg
1.0
-1.3723 1.3723 5.9337
1.3723 -1.3723 5.9337
1.3723 1.3723 -5.9337
Mn Fe Ag
1 1 1
Cartesian
0.0000 0.0000 0.0000
0.0000 0.0000 7.6904
0.0000 0.0000 3.7970
```

=====

No. 8
Computed, not measured: a geometry-optimized Mn2FeAg structure at the GGA-PBE level of DFT.

POSCAR file:
```
Mn2FeAg
1.0
0.0000 3.0791 3.0791
3.0791 0.0000 3.0791
3.0791 3.0791 0.0000
Mn Fe Ag
2 1 1
Cartesian
0.0000 0.0000 0.0000
1.5395 1.5395 1.5395
4.6186 4.6186 4.6186
3.0791 3.0791 3.0791
```

=====

| no. | energy above the most stable polymorph in this dataset (kJ/mol of atoms) | E_tot (eV per atom) | calculated density (g/cm3) |
| --- | --- | --- | --- |
| 1 | 14.9 | -6.98 | 7.71 |
| 2 | 8.0 | -7.05 | 8.54 |
| 3 | 18.3 | -6.95 | 7.76 |
| 4 | 0.0 | -6.80 | 6.61 |
| 5 | 0.8 | -7.13 | 8.14 |
| 6 | 0.0 | -7.14 | 8.47 |
| 7 | 0.0 | -6.50 | 8.12 |
| 8 | 25.7 | -6.87 | 7.78 |